# SmDyNi2P2 (PBE, relaxed)
data_SmDyNi2P2
_space_group_name_H-M_alt 'P -3 m 1'
_space_group_IT_number 164
_space_group_name_Hall '-P 3 2"'
_cell_length_a 3.9100
_cell_length_b 3.9100
_cell_length_c 7.8824
_cell_angle_alpha 90.00
_cell_angle_beta 90.00
_cell_angle_gamma 120.00
loop_
_atom_site_label
_atom_site_type_symbol
_atom_site_fract_x
_atom_site_fract_y
_atom_site_fract_z
Sm1 Sm 0.0000 0.0000 0.0000
Dy1 Dy 0.0000 0.0000 0.5000
Ni1 Ni 0.3333 0.6667 0.7456
P1 P 0.3333 0.6667 0.2563
# Energy = -38.9 eV/cell


# Sr2LiInS (PBE, relaxed)
data_Sr2LiInS
_space_group_name_H-M_alt 'P 4/m m m'
_space_group_IT_number 123
_space_group_name_Hall '-P 4 2'
_cell_length_a 5.855
_cell_length_b 5.855
_cell_length_c 4.575
_cell_angle_alpha 90.00
_cell_angle_beta 90.00
_cell_angle_gamma 90.00
loop_
_atom_site_label
_atom_site_type_symbol
_atom_site_fract_x
_atom_site_fract_y
_atom_site_fract_z
Sr1 Sr 0.000 0.500 0.000
Li1 Li 0.000 0.000 0.500
In1 In 0.500 0.500 0.500
S1 S 0.000 0.000 0.000
# Formation energy without anion corrections = -0.90 eV per atom


# InReTe3 (PBE, relaxed)
data_InReTe3
_space_group_name_H-M_alt 'P m -3 m'
_space_group_IT_number 221
_space_group_name_Hall '-P 4 2 3'
_cell_length_a 5.331
_cell_length_b 5.331
_cell_length_c 5.331
_cell_angle_alpha 90.00
_cell_angle_beta 90.00
_cell_angle_gamma 90.00
loop_
_atom_site_label
_atom_site_type_symbol
_atom_site_fract_x
_atom_site_fract_y
_atom_site_fract_z
In1 In 0.000 0.000 0.000
Re1 Re 0.500 0.500 0.500
Te1 Te 0.000 0.500 0.500
# Formation energy without anion corrections = 0.52 eV per atom
# Distance to the lowest polymorph of the same formula = 0.00 eV per formula unit